(1)
First-principles (PBE) data for a relaxed BaY2InCo crystal, as listed in Alexandria.

- DFT formation energy: -120 meV per atom
- Volume: 29.33 Å³/atom

Cell lengths 5.2895, 5.2895, 5.2411 Å; angles 90.00, 90.00, 90.00 degrees
Element x y z (fractional)
Ba  0.0000  0.0000  0.0000
Y  0.0000  0.5000  0.5000
Y  0.5000  0.0000  0.5000
In  0.5000  0.5000  0.0000
Co  0.5000  0.5000  0.5000


(2)
First-principles (PBE) data for a relaxed RbNaNpO3 crystal, as listed in Alexandria.

- DFT total energy: -43.26 eV per formula unit
- Volume: 18.81 Å³/atom

Cell lengths 6.9505, 3.5917, 9.4042 Å; angles 90.00, 105.91, 90.00 degrees
Element x y z (fractional)
Rb  0.1207  0.2500  0.1800
Rb  0.8793  0.7500  0.8200
Na  0.1752  0.7500  0.5394
Na  0.8248  0.2500  0.4606
Np  0.3816  0.2500  0.8345
Np  0.6184  0.7500  0.1655
O  0.0936  0.2500  0.6789
O  0.3185  0.7500  0.9818
O  0.4685  0.7500  0.7256
O  0.5315  0.2500  0.2744
O  0.6815  0.2500  0.0182
O  0.9064  0.7500  0.3211


(3)
First-principles (PBE) data for a relaxed SnSbRh3 crystal, as listed in Alexandria.

- DFT total energy: -31.76 eV per formula unit
- Volume: 18.88 Å³/atom

Cell lengths 4.3198, 7.9039, 5.5293 Å; angles 90.00, 90.00, 90.00 degrees
Element x y z (fractional)
Sn  0.0000  0.1523  0.0000
Sn  0.0000  0.8477  0.5000
Sb  0.5000  0.3581  0.6133
Sb  0.5000  0.6419  0.1133
Rh  0.0000  0.1869  0.4837
Rh  0.0000  0.8131  0.9837
Rh  0.5000  0.0322  0.7657
Rh  0.5000  0.3114  0.1368
Rh  0.5000  0.6886  0.6368
Rh  0.5000  0.9678  0.2657


(4)
First-principles (PBE) data for a relaxed CsLiTeN2 crystal, as listed in Alexandria.

- DFT total energy: -13.06 eV per formula unit
- Volume: 35.46 Å³/atom

Cell lengths 4.8939, 4.8939, 7.4029 Å; angles 90.00, 90.00, 90.00 degrees
Element x y z (fractional)
Cs  0.0000  0.0000  0.0000
Li  0.5000  0.5000  0.5000
Te  0.0000  0.0000  0.5000
N  0.0000  0.5000  0.0000
N  0.5000  0.0000  0.0000


(5)
First-principles (PBE) data for a relaxed AcLaErMg crystal, as listed in Alexandria.

- DFT formation energy: -18 meV per atom
- Volume: 33.83 Å³/atom

Cell lengths 3.8403, 3.8403, 9.1763 Å; angles 90.00, 90.00, 90.00 degrees
Element x y z (fractional)
Ac  0.0000  0.0000  0.0000
La  0.5000  0.5000  0.7030
Er  0.5000  0.5000  0.2761
Mg  0.0000  0.0000  0.4725


Among the records above, which one has the highest volume?
CsLiTeN2


The highest volume belongs to which entry?
CsLiTeN2